Record 1
Entry from Alexandria via LeMat-Bulk: Ga2CuPt5 after structural relaxation (GGA-PBE).

Lattice parameters (Å, degrees): 5.496 10.932 3.980 90.00 90.00 90.00
Space group Pbam (No. 55)
Unique sites:
Ga: 0.221 0.128 0.000 (multiplicity 4)
Cu: 0.000 0.500 0.500 (multiplicity 2)
Pt: 0.000 0.000 0.500 (multiplicity 2)
Pt: 0.050 0.739 0.500 (multiplicity 4)
Pt: 0.225 0.384 0.000 (multiplicity 4)

***

Record 2
Entry from Alexandria via LeMat-Bulk: Ga2Cu2Pt after structural relaxation (GGA-PBE).

Calculated values
Polymorph energy (0 for the lowest one) in meV/atom: 165.5

Lattice parameters (Å, degrees): 3.336 3.336 13.490 90.00 90.00 90.00
Space group I4/mmm (No. 139)
Unique sites:
Ga: 0.000 0.000 0.102 (multiplicity 4)
Cu: 0.000 0.500 0.250 (multiplicity 4)
Pt: 0.000 0.000 0.500 (multiplicity 2)

***

Record 3
Entry from Alexandria via LeMat-Bulk: Ga2Cu2Pt5 after structural relaxation (GGA-PBE).

Lattice parameters (Å, degrees): 8.485 13.850 4.826 90.00 90.00 90.00
Space group Imma (No. 74)
Unique sites:
Ga: 0.000 0.138 0.077 (multiplicity 8)
Cu: 0.000 0.000 0.500 (multiplicity 4)
Cu: 0.000 0.250 0.589 (multiplicity 4)
Pt: 0.250 0.050 0.250 (multiplicity 8)
Pt: 0.250 0.147 0.750 (multiplicity 8)
Pt: 0.250 0.250 0.250 (multiplicity 4)

***

Record 4
Entry from Alexandria via LeMat-Bulk: GaCu6Pt after structural relaxation (GGA-PBE).

Calculated values
Polymorph energy (0 for the lowest one) in meV/atom: 195.4

Lattice parameters (Å, degrees): 4.8542 4.8542 19.5832 90.00 90.00 120.00
Space group R-3m (No. 166, hexagonal axes)
Unique sites:
Ga: 0.0000 0.0000 0.0000 (multiplicity 3)
Cu: 0.0011 0.5005 0.4375 (multiplicity 18)
Pt: 0.0000 0.0000 0.5000 (multiplicity 3)

***

Record 5
Entry from Alexandria via LeMat-Bulk: Ga6Cu5Pt after structural relaxation (GGA-PBE).

Lattice parameters (Å, degrees): 8.339 9.147 4.667 90.00 100.33 90.00
Space group C2/m (No. 12)
Unique sites:
Ga: 0.240 0.000 0.238 (multiplicity 4)
Ga: 0.247 0.166 0.745 (multiplicity 8)
Cu: 0.000 0.000 0.500 (multiplicity 2)
Cu: 0.000 0.178 0.000 (multiplicity 4)
Cu: 0.000 0.336 0.500 (multiplicity 4)
Pt: 0.000 0.500 0.000 (multiplicity 2)

***

Record 6
Entry from Alexandria via LeMat-Bulk: GaCuPt3 after structural relaxation (GGA-PBE).

Calculated values
Polymorph energy (0 for the lowest one) in meV/atom: 125.5

Lattice parameters (Å, degrees): 9.395 9.771 7.292 90.00 111.76 90.00
Space group C2/c (No. 15)
Unique sites:
Ga: 0.000 0.091 0.250 (multiplicity 4)
Ga: 0.000 0.367 0.750 (multiplicity 4)
Cu: 0.133 0.327 0.415 (multiplicity 8)
Pt: 0.080 0.123 0.618 (multiplicity 8)
Pt: 0.145 0.450 0.108 (multiplicity 8)
Pt: 0.217 0.179 0.158 (multiplicity 8)

***

Which ρ belongs to each record? In order, 16.36, 10.21, 14.55, 8.05, 8.83, 15.35 g/cm3.
Which energy relative to the elements belongs to each record? In order, -3.69, -0.67, -2.55, 1.96, -1.33, -1.25 eV/f.u..
Which Fermi-level density of states belongs to each record? In order, 0.57, 0.31, 0.52, 0.43, 0.31, 0.52 states/eV/atom.